# 1
Entry from the Alexandria database: a relaxed AcPr8Nd5 crystal (PBE-GGA).

POSCAR file:
```
AcPr8Nd5
1.0
-4.964 4.964 5.325
4.964 -4.964 5.325
4.964 4.964 -5.325
Ac Pr Nd
1 8 5
Cartesian
0.000 0.000 0.000
6.669 0.867 0.028
1.768 -0.735 3.793
0.867 3.259 -0.028
3.196 5.699 -1.532
4.229 3.196 1.532
4.096 1.705 5.297
0.735 1.768 6.857
-1.705 4.096 5.353
3.847 2.068 -1.903
4.964 0.000 2.663
2.896 -1.117 7.228
1.117 2.896 3.422
2.068 6.080 1.903
```

- symmetry = No. 82
- VASP energy (eV per atom) = -4.506
- crystal system = tetragonal
- formation enthalpy at 0 K (eV/atom) = 0.22

=====

# 2
Entry from the Alexandria database: a relaxed Ac12Pr7Nd crystal (PBE-GGA).

POSCAR file:
```
Ac12Pr7Nd
1.0
-6.138 6.138 6.138
6.138 -6.138 6.138
6.138 6.138 -6.138
Ac Pr Nd
12 7 1
Cartesian
6.138 3.508 -2.595
3.543 0.000 2.630
8.733 0.000 2.630
2.630 3.543 0.000
3.508 -2.595 6.138
6.138 3.508 2.595
0.000 2.630 3.543
2.630 8.733 0.000
3.508 2.595 6.138
-2.595 6.138 3.508
2.595 6.138 3.508
0.000 2.630 8.733
3.069 3.069 -3.069
3.069 -3.069 3.069
6.138 0.000 0.000
-3.069 3.069 3.069
0.000 6.138 0.000
0.000 0.000 6.138
3.069 3.069 3.069
0.000 0.000 0.000
```

- symmetry = No. 204
- polymorph energy (0 for the lowest one) (meV per atom) = 414.4
- VASP energy (eV per atom) = -3.776
- crystal system = cubic
- formation enthalpy at 0 K (eV/atom) = 0.60

=====

# 3
Entry from the Alexandria database: a relaxed Ac2PrNd5 crystal (PBE-GGA).

POSCAR file:
```
Ac2PrNd5
1.0
5.345 0.000 0.000
0.000 5.345 0.000
0.000 0.000 21.074
Ac Pr Nd
4 2 10
Cartesian
0.000 0.000 5.268
0.000 0.000 15.806
2.672 2.672 5.269
2.672 2.672 15.805
0.000 0.000 0.000
2.672 2.672 10.537
0.000 0.000 10.537
0.000 2.672 2.534
0.000 2.672 8.003
0.000 2.672 13.071
0.000 2.672 18.540
2.672 0.000 2.534
2.672 0.000 8.003
2.672 0.000 13.071
2.672 0.000 18.540
2.672 2.672 0.000
```

- symmetry = No. 139
- VASP energy (eV per atom) = -4.580
- crystal system = tetragonal
- formation enthalpy at 0 K (eV/atom) = 0.02

=====

# 4
Entry from the Alexandria database: a relaxed Ac7PrNd2 crystal (PBE-GGA).

POSCAR file:
```
Ac7PrNd2
1.0
5.075 -8.258 0.000
5.075 8.258 0.000
0.000 0.000 6.100
Ac Pr Nd
7 1 2
Cartesian
0.000 0.000 0.000
3.190 2.030 0.000
5.075 4.044 3.050
3.190 -2.030 0.000
6.960 2.030 0.000
5.075 -4.044 3.050
6.960 -2.030 0.000
5.075 0.000 3.050
5.075 4.945 0.000
5.075 -4.945 0.000
```

- symmetry = No. 65
- VASP energy (eV per atom) = -3.719
- crystal system = orthorhombic
- formation enthalpy at 0 K (eV/atom) = 0.59

=====

# 5
Entry from the Alexandria database: a relaxed Ac2Pr2Nd5 crystal (PBE-GGA).

POSCAR file:
```
Ac2Pr2Nd5
1.0
-7.564 5.226 4.281
7.564 -5.226 4.281
7.564 5.226 -4.281
Ac Pr Nd
4 4 10
Cartesian
1.870 0.307 0.000
5.694 0.307 0.000
1.870 4.919 4.281
5.694 4.919 4.281
3.782 -0.187 3.223
3.782 5.412 -1.058
0.000 5.226 1.189
0.000 0.000 5.470
6.999 3.342 -1.322
8.129 -1.883 2.959
-2.219 2.915 1.465
9.783 2.915 1.465
3.782 3.303 1.486
0.565 1.883 2.959
6.999 1.883 2.959
3.782 1.923 5.767
2.219 7.537 1.465
-2.219 2.311 5.746
```

- symmetry = No. 46
- polymorph energy (0 for the lowest one) (meV per atom) = 121.4
- VASP energy (eV per atom) = -4.404
- crystal system = orthorhombic
- formation enthalpy at 0 K (eV/atom) = 0.22

=====

# 6
Entry from the Alexandria database: a relaxed Ac2Pr8Nd crystal (PBE-GGA).

POSCAR file:
```
Ac2Pr8Nd
1.0
8.606 -3.501 0.000
8.606 3.501 0.000
-1.248 0.000 6.968
Ac Pr Nd
2 8 1
Cartesian
3.036 0.000 2.197
12.929 0.000 4.771
6.996 1.655 0.694
3.203 0.000 5.760
8.969 1.655 6.274
6.360 0.000 4.148
9.604 0.000 2.820
6.996 -1.655 0.694
12.762 0.000 1.208
8.969 -1.655 6.274
-0.624 0.000 3.484
```

- symmetry = No. 12
- polymorph energy (0 for the lowest one) (meV per atom) = 0.0
- VASP energy (eV per atom) = -4.524
- crystal system = monoclinic
- formation enthalpy at 0 K (eV/atom) = 0.13

=====

# 7
Entry from the Alexandria database: a relaxed Ac2Pr2Nd7 crystal (PBE-GGA).

POSCAR file:
```
Ac2Pr2Nd7
1.0
5.838 -6.068 0.000
5.838 6.068 0.000
-2.362 0.000 5.848
Ac Pr Nd
2 2 7
Cartesian
2.461 0.000 0.525
6.853 0.000 5.323
5.838 3.303 0.000
5.838 -3.303 0.000
-1.181 0.000 2.924
3.028 3.227 1.967
6.286 3.227 3.881
3.215 0.000 4.074
6.099 0.000 1.774
3.028 -3.227 1.967
6.286 -3.227 3.881
```

- symmetry = No. 12
- polymorph energy (0 for the lowest one) (meV per atom) = 0.0
- VASP energy (eV per atom) = -4.504
- crystal system = monoclinic
- formation enthalpy at 0 K (eV/atom) = 0.15

=====

# 8
Entry from the Alexandria database: a relaxed Ac7Pr3Nd crystal (PBE-GGA).

POSCAR file:
```
Ac7Pr3Nd
1.0
6.701 -6.250 0.000
6.701 6.250 0.000
-3.122 0.000 5.678
Ac Pr Nd
7 3 1
Cartesian
0.000 0.000 0.000
3.191 2.598 1.762
1.480 0.000 4.524
7.088 2.598 3.917
3.191 -2.598 1.762
8.800 0.000 1.155
7.088 -2.598 3.917
6.701 2.629 0.000
5.140 0.000 2.839
6.701 -2.629 0.000
-1.561 0.000 2.839
```

- symmetry = No. 12
- polymorph energy (0 for the lowest one) (meV per atom) = 123.6
- VASP energy (eV per atom) = -4.118
- crystal system = monoclinic
- formation enthalpy at 0 K (eV/atom) = 0.23

=====

Q: What is the formation enthalpy at 0 K in the first record?
A: 0.22 eV/atom